## P
Compound: ErTmZn
Source: Alexandria
Functional: PBE-GGA
Structure: optimized geometry

Computed properties:
Space group   Pnma (62)
Theoretical density   8.07 g cm⁻³

abc: 4.876 6.947 9.753
angles: 90.00 90.00 90.00
Fractional coordinates of all 12 atoms:
Tm1 0.250 0.499 0.876
Tm2 0.250 0.001 0.376
Tm3 0.750 0.501 0.124
Tm4 0.750 0.999 0.624
Er1 0.750 0.499 0.626
Er2 0.250 0.999 0.874
Er3 0.750 0.001 0.126
Er4 0.250 0.501 0.374
Zn1 0.250 0.249 0.625
Zn2 0.750 0.751 0.375
Zn3 0.250 0.251 0.125
Zn4 0.750 0.749 0.875


## Q
Compound: ErTmZn
Source: Alexandria
Functional: PBE-GGA
Structure: optimized geometry

Computed properties:
Space group   I4mm (107)
Theoretical density   8.90 g cm⁻³

abc: 3.527 3.527 6.521
angles: 105.69 105.69 90.00
Fractional coordinates of all 3 atoms:
Zn1 0.666 0.666 0.332
Er1 0.311 0.311 0.623
Tm1 0.023 0.023 0.046


Most favorable structure: Q. The second most favorable one is 21.7 kJ/mol of atoms above it.


## P
Compound: ErTm3Zn2
Source: Alexandria
Functional: PBE-GGA
Structure: optimized geometry

Computed properties:
Space group   Pmc2_1 (26)
Theoretical density   9.03 g cm⁻³

abc: 4.939 6.702 8.942
angles: 90.00 90.00 90.00
Fractional coordinates of all 12 atoms:
Zn1 0.000 0.772 0.352
Zn2 0.000 0.272 0.648
Zn3 0.500 0.228 0.148
Zn4 0.500 0.728 0.852
Tm1 0.000 0.982 0.056
Tm2 0.500 0.667 0.175
Tm3 0.000 0.834 0.677
Tm4 0.000 0.482 0.944
Tm5 0.500 0.167 0.825
Tm6 0.000 0.334 0.323
Er1 0.500 0.518 0.556
Er2 0.500 0.018 0.444


## Q
Compound: ErTm3Zn2
Source: Alexandria
Functional: PBE-GGA
Structure: optimized geometry

Computed properties:
Space group   P4/mmm (123)
Theoretical density   8.99 g cm⁻³

abc: 3.518 3.518 12.011
angles: 90.00 90.00 90.00
Fractional coordinates of all 6 atoms:
Er1 0.500 0.500 0.500
Tm1 0.000 0.000 0.291
Tm2 0.000 0.000 0.709
Tm3 0.000 0.000 0.000
Zn1 0.500 0.500 0.145
Zn2 0.500 0.500 0.855


Most favorable structure: P. The second most favorable one is 1.2 kJ/mol of atoms above it.


## P
Compound: ErTmZr
Source: Alexandria
Functional: PBE-GGA
Structure: optimized geometry

Computed properties:
Space group   P3m1 (156)
Theoretical density   8.60 g cm⁻³

abc: 3.383 3.383 8.329
angles: 90.00 90.00 120.00
Fractional coordinates of all 3 atoms:
Tm1 0.333 0.667 0.651
Er1 0.000 0.000 0.016
Zr1 0.667 0.333 0.334


## Q
Compound: ErTmZr
Source: Alexandria
Functional: PBE-GGA
Structure: optimized geometry

Computed properties:
Space group   Cmcm (63)
Theoretical density   8.53 g cm⁻³

abc: 3.427 5.411 9.134
angles: 90.00 100.81 90.00
Fractional coordinates of all 6 atoms:
Er1 0.785 0.250 0.571
Er2 0.215 0.750 0.429
Zr1 0.552 0.750 0.104
Zr2 0.448 0.250 0.896
Tm1 0.897 0.750 0.793
Tm2 0.103 0.250 0.207


## R
Compound: ErTmZr
Source: Alexandria
Functional: PBE-GGA
Structure: optimized geometry

Computed properties:
Space group   P-6m2 (187)
Theoretical density   8.66 g cm⁻³

abc: 5.310 5.310 6.716
angles: 90.00 90.00 60.01
Last column: magnetic moment on the atom in μB.
Fractional coordinates of all 6 atoms:
Zr1 0.765 0.766 0.750  0.30
Zr2 0.766 0.765 0.250  0.30
Er1 0.432 0.432 0.500  0.08
Er2 0.432 0.432 0.000  0.08
Tm1 0.099 0.099 0.750  0.10
Tm2 0.099 0.099 0.250  0.10


## S
Compound: ErTmZr
Source: Alexandria
Functional: PBE-GGA
Structure: optimized geometry

Computed properties:
Space group   P2_1/m (11)
Theoretical density   8.66 g cm⁻³

abc: 5.012 3.319 9.989
angles: 99.48 90.00 90.00
Fractional coordinates of all 6 atoms:
Er1 0.847 0.623 0.667
Er2 0.347 0.367 0.157
Tm1 0.347 0.043 0.506
Tm2 0.847 0.947 0.318
Zr1 0.847 0.782 0.987
Zr2 0.347 0.208 0.837


Most favorable structure: Q. The second most favorable one is 4.1 kJ/mol of atoms above it.


## P
Compound: Er6Tm2Zr
Source: Alexandria
Functional: PBE-GGA
Structure: optimized geometry

Computed properties:
Space group   P-6m2 (187)
Theoretical density   8.80 g cm⁻³

abc: 3.503 3.503 25.429
angles: 90.00 90.00 120.00
Last column: magnetic moment on the atom in μB.
Fractional coordinates of all 9 atoms:
Er1 0.000 0.000 0.433  0.14
Er2 0.000 0.000 0.567  0.14
Er3 0.333 0.667 0.101  0.07
Er4 0.000 0.000 0.215  0.23
Er5 0.333 0.667 0.899  0.07
Er6 0.000 0.000 0.785  0.23
Zr1 0.000 0.000 0.000  0.01
Tm1 0.333 0.667 0.675  0.16
Tm2 0.333 0.667 0.325  0.16


## Q
Compound: Er6Tm2Zr
Source: Alexandria
Functional: PBE-GGA
Structure: optimized geometry

Computed properties:
Space group   R3m (160)
Theoretical density   8.46 g cm⁻³

abc: 7.221 7.221 7.497
angles: 61.21 61.21 60.00
Fractional coordinates of all 9 atoms:
Zr1 0.314 0.314 0.058
Er1 0.772 0.263 0.702
Er2 0.614 0.050 0.285
Er3 0.263 0.772 0.702
Er4 0.050 0.050 0.285
Er5 0.050 0.614 0.285
Er6 0.263 0.263 0.702
Tm1 0.757 0.757 0.728
Tm2 0.582 0.582 0.254


Most favorable structure: P. The second most favorable one is 29.3 kJ/mol of atoms above it.


## P
Compound: Er7Tm12Zr
Source: Alexandria
Functional: PBE-GGA
Structure: optimized geometry

Computed properties:
Space group   Im-3m (229)
Theoretical density   7.75 g cm⁻³

abc: 9.710 9.710 9.710
angles: 109.47 109.47 109.47
Fractional coordinates of all 20 atoms:
Tm1 0.218 0.781 0.000
Tm2 0.218 0.219 0.437
Tm3 0.000 0.218 0.781
Tm4 0.219 0.437 0.218
Tm5 0.563 0.782 0.781
Tm6 0.782 0.781 0.563
Tm7 0.781 0.563 0.782
Tm8 0.781 0.000 0.218
Tm9 0.437 0.218 0.219
Tm10 0.219 0.000 0.782
Tm11 0.782 0.219 0.000
Tm12 0.000 0.782 0.219
Er1 0.500 0.000 0.000
Er2 0.500 0.000 0.500
Er3 0.500 0.500 0.500
Er4 0.000 0.500 0.000
Er5 0.000 0.500 0.500
Er6 0.000 0.000 0.500
Er7 0.500 0.500 0.000
Zr1 0.000 0.000 0.000


## Q
Compound: Er7Tm12Zr
Source: Alexandria
Functional: PBE-GGA
Structure: optimized geometry

Computed properties:
Space group   R-3 (148)
Theoretical density   8.72 g cm⁻³

abc: 8.555 8.555 8.555
angles: 89.61 89.61 89.61
Last column: magnetic moment on the atom in μB.
Fractional coordinates of all 20 atoms:
Tm1 0.657 0.547 0.880  -0.08
Tm2 0.120 0.343 0.453  -0.08
Tm3 0.781 0.371 0.239  -0.03
Tm4 0.629 0.761 0.219  -0.03
Tm5 0.219 0.629 0.761  -0.03
Tm6 0.239 0.781 0.371  -0.03
Tm7 0.343 0.453 0.120  -0.08
Tm8 0.880 0.657 0.547  -0.08
Tm9 0.547 0.880 0.657  -0.08
Tm10 0.371 0.239 0.781  -0.03
Tm11 0.453 0.120 0.343  -0.08
Tm12 0.761 0.219 0.629  -0.03
Zr1 0.000 0.000 0.000  0.58
Er1 0.340 0.899 0.004  0.05
Er2 0.500 0.500 0.500  -0.03
Er3 0.660 0.101 0.996  0.05
Er4 0.004 0.340 0.899  0.05
Er5 0.101 0.996 0.660  0.05
Er6 0.996 0.660 0.101  0.05
Er7 0.899 0.004 0.340  0.05


Most favorable structure: Q. The second most favorable one is 52.9 kJ/mol of atoms above it.


## P
Compound: Er2TmZr
Source: Alexandria
Functional: PBE-GGA
Structure: optimized geometry

Computed properties:
Space group   P4/mmm (123)
Theoretical density   8.73 g cm⁻³

abc: 3.990 3.990 7.108
angles: 90.00 90.00 90.00
Fractional coordinates of all 4 atoms:
Er1 0.000 0.000 0.271
Er2 0.000 0.000 0.729
Zr1 0.500 0.500 0.500
Tm1 0.500 0.500 0.000


## Q
Compound: Er2TmZr
Source: Alexandria
Functional: PBE-GGA
Structure: optimized geometry

Computed properties:
Space group   P4/mmm (123)
Theoretical density   8.77 g cm⁻³

abc: 3.406 3.407 11.853
angles: 125.06 90.00 90.00
Fractional coordinates of all 4 atoms:
Er1 0.000 0.469 0.484
Er2 0.000 0.531 0.016
Zr1 0.500 0.500 0.250
Tm1 0.500 0.500 0.750


## R
Compound: Er2TmZr
Source: Alexandria
Functional: PBE-GGA
Structure: optimized geometry

Computed properties:
Space group   R-3m (166)
Theoretical density   8.70 g cm⁻³

abc: 3.325 3.325 12.002
angles: 82.04 82.04 60.00
Fractional coordinates of all 4 atoms:
Er1 0.913 0.913 0.262
Er2 0.087 0.087 0.738
Tm1 0.500 0.500 0.500
Zr1 0.000 0.000 0.000


Most favorable structure: Q. The second most favorable one is 9.6 kJ/mol of atoms above it.


## P
Compound: Er2TmZr
Source: Alexandria
Functional: PBE-GGA
Structure: optimized geometry

Computed properties:
Space group   R3m (160)
Theoretical density   8.75 g cm⁻³

abc: 3.434 3.434 11.225
angles: 81.20 81.20 60.00
Fractional coordinates of all 4 atoms:
Tm1 0.500 0.500 0.499
Er1 0.254 0.254 0.238
Er2 0.079 0.079 0.762
Zr1 0.666 0.666 0.001


## Q
Compound: Er2TmZr
Source: Alexandria
Functional: PBE-GGA
Structure: optimized geometry

Computed properties:
Space group   Cm (8)
Theoretical density   8.72 g cm⁻³

abc: 3.436 5.956 11.242
angles: 84.99 98.76 89.99
Fractional coordinates of all 8 atoms:
Tm1 0.543 0.939 0.573
Tm2 0.042 0.439 0.572
Er1 0.912 0.150 0.309
Er2 0.411 0.651 0.307
Er3 0.674 0.229 0.833
Er4 0.175 0.729 0.835
Zr1 0.791 0.862 0.069
Zr2 0.291 0.352 0.069


Most favorable structure: Q. The second most favorable one is 0.6 kJ/mol of atoms above it.


## P
Compound: ErTm2Zr
Source: Alexandria
Functional: PBE-GGA
Structure: optimized geometry

Computed properties:
Space group   R3m (160)
Theoretical density   8.81 g cm⁻³

abc: 3.430 3.430 11.201
angles: 81.19 81.19 60.00
Fractional coordinates of all 4 atoms:
Tm1 0.254 0.254 0.237
Tm2 0.079 0.079 0.763
Er1 0.500 0.500 0.499
Zr1 0.666 0.666 0.001


## Q
Compound: ErTm2Zr
Source: Alexandria
Functional: PBE-GGA
Structure: optimized geometry

Computed properties:
Space group   Cm (8)
Theoretical density   8.78 g cm⁻³

abc: 3.431 5.947 11.223
angles: 84.99 98.77 89.99
Fractional coordinates of all 8 atoms:
Zr1 0.791 0.862 0.069
Zr2 0.291 0.352 0.069
Tm1 0.674 0.229 0.833
Tm2 0.912 0.150 0.308
Tm3 0.411 0.651 0.306
Tm4 0.175 0.729 0.835
Er1 0.543 0.939 0.573
Er2 0.043 0.439 0.572


## R
Compound: ErTm2Zr
Source: Alexandria
Functional: PBE-GGA
Structure: optimized geometry

Computed properties:
Space group   P4/mmm (123)
Theoretical density   8.78 g cm⁻³

abc: 3.975 3.975 7.137
angles: 90.00 90.00 90.00
Fractional coordinates of all 4 atoms:
Zr1 0.500 0.500 0.500
Tm1 0.000 0.000 0.728
Tm2 0.000 0.000 0.272
Er1 0.500 0.500 0.000


Most favorable structure: Q. The second most favorable one is 0.9 kJ/mol of atoms above it.


## P
Compound: ErTm2Zr
Source: Alexandria
Functional: PBE-GGA
Structure: optimized geometry

Computed properties:
Space group   P4/mmm (123)
Theoretical density   8.84 g cm⁻³

abc: 3.400 3.399 11.839
angles: 125.00 90.00 90.00
Fractional coordinates of all 4 atoms:
Zr1 0.500 0.500 0.250
Tm1 0.000 0.467 0.483
Tm2 0.000 0.533 0.017
Er1 0.500 0.500 0.750


## Q
Compound: ErTm2Zr
Source: Alexandria
Functional: PBE-GGA
Structure: optimized geometry

Computed properties:
Space group   Fm-3m (225)
Theoretical density   8.69 g cm⁻³

abc: 5.441 5.441 5.441
angles: 60.00 60.00 60.00
Last column: magnetic moment on the atom in μB.
Fractional coordinates of all 4 atoms:
Zr1 0.500 0.500 0.500  0.94
Er1 0.000 0.000 0.000  0.28
Tm1 0.750 0.750 0.750  0.47
Tm2 0.250 0.250 0.250  0.47


## R
Compound: ErTm2Zr
Source: Alexandria
Functional: PBE-GGA
Structure: optimized geometry

Computed properties:
Space group   R-3m (166)
Theoretical density   8.83 g cm⁻³

abc: 3.404 3.404 11.341
angles: 81.37 81.37 60.00
Fractional coordinates of all 4 atoms:
Tm1 0.755 0.755 0.736
Tm2 0.245 0.245 0.264
Er1 0.000 0.000 0.000
Zr1 0.500 0.500 0.500


Most favorable structure: P. The second most favorable one is 1.0 kJ/mol of atoms above it.


## P
Compound: Er4Tm3Zr
Source: Alexandria
Functional: PBE-GGA
Structure: optimized geometry

Computed properties:
Space group   P-1 (2)
Theoretical density   9.02 g cm⁻³

abc: 3.464 6.033 11.690
angles: 104.92 81.53 89.98
Fractional coordinates of all 8 atoms:
Tm1 0.377 0.795 0.244
Tm2 0.000 0.500 0.000
Tm3 0.623 0.205 0.756
Er1 0.878 0.284 0.241
Er2 0.753 0.750 0.496
Er3 0.122 0.716 0.759
Er4 0.247 0.250 0.504
Zr1 0.500 0.000 0.000


## Q
Compound: Er4Tm3Zr
Source: Alexandria
Functional: PBE-GGA
Structure: optimized geometry

Computed properties:
Space group   Pmn2_1 (31)
Theoretical density   8.91 g cm⁻³

abc: 6.098 7.072 10.950
angles: 90.00 90.00 90.00
Fractional coordinates of all 16 atoms:
Tm1 0.147 0.384 0.500
Tm2 0.477 0.379 0.252
Tm3 0.647 0.616 0.000
Tm4 0.977 0.621 0.752
Tm5 0.477 0.379 0.748
Tm6 0.977 0.621 0.248
Er1 0.486 0.871 0.745
Er2 0.647 0.128 0.500
Er3 0.145 0.868 0.500
Er4 0.486 0.871 0.255
Er5 0.147 0.872 0.000
Er6 0.986 0.129 0.755
Er7 0.645 0.132 0.000
Er8 0.986 0.129 0.245
Zr1 0.151 0.376 0.000
Zr2 0.651 0.624 0.500


Most favorable structure: Q. The second most favorable one is 0.6 kJ/mol of atoms above it.